[1]
{
  "formula": "CrSBr3",
  "functional": "PBE",
  "state": "optimized geometry",
  "vol_a3_per_atom": 23.1,
  "polymorph_energy_mev_per_atom": 15,
  "e_tot_ev_per_atom": -3.283,
  "lattice": [[-3.8283, 0.7924, -2.9087], [-2.9361, -2.0466, 3.3069], [-0.6839, 4.3506, 2.0854]],
  "species": ["Cr", "S", "Br", "Br", "Br"],
  "fractional_positions": [[0.0000, 0.0000, 0.0000], [0.5000, 0.5000, 0.5000], [0.0000, 0.5000, 0.0000], [0.0000, 0.0000, 0.5000], [0.5000, 0.0000, 0.0000]]
}

=====

[2]
{
  "formula": "CrS2Br",
  "functional": "PBE",
  "state": "optimized geometry",
  "vol_a3_per_atom": 24.2,
  "polymorph_energy_mev_per_atom": 296,
  "e_tot_ev_per_atom": -4.978,
  "lattice": [[6.3870, 0.0000, 0.0000], [0.0000, 6.3870, 0.0000], [3.1935, 3.1935, 4.7367]],
  "species": ["Cr", "Cr", "S", "S", "S", "S", "Br", "Br"],
  "fractional_positions": [[0.5000, 0.5000, 0.0000], [0.2500, 0.7500, 0.5000], [0.5077, 0.1250, 0.2500], [0.2423, 0.6250, 0.2500], [0.3750, 0.4923, 0.7500], [0.8750, 0.7577, 0.7500], [0.0000, 0.0000, 0.0000], [0.7500, 0.2500, 0.5000]]
}